# 1
Material: HfTiReTc
Method: DFT, PBE
State: optimized geometry

Lattice parameters (Å, degrees): 4.5172 4.5172 4.5172 60.00 60.00 60.00
Closest atoms and distances in Å follow each position.
Fractional coordinates of all 4 atoms:
Hf1 0.0000 0.0000 0.0000  4 Tc 2.77, 4 Re 2.77
Ti1 0.5000 0.5000 0.5000  4 Tc 2.77, 4 Re 2.77
Re1 0.2500 0.2500 0.2500  4 Hf 2.77, 4 Ti 2.77
Tc1 0.7500 0.7500 0.7500  4 Ti 2.77, 4 Hf 2.77

Properties
Its energy of formation is -0.394 eV/atom.

***

# 2
Material: Dy7CoI12
Method: DFT, PBE
State: optimized geometry

Lattice parameters (Å, degrees): 9.7431 9.7431 9.7431 106.78 106.78 106.78
Closest atoms and distances in Å follow each position.
Fractional coordinates of all 20 atoms:
Dy1 0.0000 0.0000 0.0000  6 I 3.04
Dy2 0.2132 0.4081 0.4795  1 Co 2.60
Dy3 0.4081 0.4795 0.2132  1 Co 2.60
Dy4 0.4795 0.2132 0.4081  1 Co 2.60
Dy5 0.5205 0.7868 0.5919  1 Co 2.60
Dy6 0.5919 0.5205 0.7868  1 Co 2.60
Dy7 0.7868 0.5919 0.5205  1 Co 2.60
Co1 0.5000 0.5000 0.5000  6 Dy 2.60
I1 0.0370 0.3389 0.1149  3 Dy 3.04-3.23
I2 0.1149 0.0370 0.3389  3 Dy 3.04-3.23
I3 0.1759 0.7237 0.5697  3 Dy 3.10-3.47
I4 0.2763 0.4303 0.8241  3 Dy 3.10-3.47
I5 0.3389 0.1149 0.0370  3 Dy 3.04-3.23
I6 0.4303 0.8241 0.2763  3 Dy 3.10-3.47
I7 0.5697 0.1759 0.7237  3 Dy 3.10-3.47
I8 0.6611 0.8851 0.9630  3 Dy 3.04-3.23
I9 0.7237 0.5697 0.1759  3 Dy 3.10-3.47
I10 0.8241 0.2763 0.4303  3 Dy 3.10-3.47
I11 0.8851 0.9630 0.6611  3 Dy 3.04-3.23
I12 0.9630 0.6611 0.8851  3 Dy 3.04-3.23

***

# 3
Material: CsInTe2
Method: DFT, PBE
State: optimized geometry

Lattice parameters (Å, degrees): 8.3103 8.3103 8.3103 127.42 127.42 77.57
Closest atoms and distances in Å follow each position.
Fractional coordinates of all 8 atoms:
Cs1 0.3750 0.6250 0.7500  6 Te 3.72-3.77
Cs2 0.6250 0.3750 0.2500  6 Te 3.72-3.77
In1 0.1250 0.8750 0.2500  2 Te 2.71
In2 0.8750 0.1250 0.7500  2 Te 2.71
Te1 0.0843 0.3343 0.7500  1 In 2.71
Te2 0.3343 0.0843 0.2500  1 In 2.71
Te3 0.6657 0.9157 0.7500  1 In 2.71
Te4 0.9157 0.6657 0.2500  1 In 2.71

***

# 4
Material: Y3Ho4ErS8
Method: DFT, PBE
State: optimized geometry

Lattice parameters (Å, degrees): 7.7918 7.7918 7.7918 59.99 59.99 59.99
Closest atoms and distances in Å follow each position.
Fractional coordinates of all 16 atoms:
Y1 0.0000 0.5000 0.5000  6 S 2.77
Y2 0.5000 0.0000 0.5000  6 S 2.77
Y3 0.5000 0.5000 0.0000  6 S 2.77
Ho1 0.0000 0.0000 0.5000  6 S 2.74
Ho2 0.0000 0.5000 0.0000  6 S 2.74
Ho3 0.5000 0.0000 0.0000  6 S 2.74
Ho4 0.5000 0.5000 0.5000  6 S 2.76
Er1 0.0000 0.0000 0.0000  6 S 2.75
S1 0.2470 0.7508 0.7508  3 Ho 2.74-2.76, 1 Er 2.75, 2 Y 2.77
S2 0.2489 0.2489 0.2489  3 Ho 2.74, 3 Y 2.77
S3 0.2492 0.2492 0.7530  3 Ho 2.74-2.76, 1 Er 2.75, 2 Y 2.77
S4 0.2492 0.7530 0.2492  3 Ho 2.74-2.76, 1 Er 2.75, 2 Y 2.77
S5 0.7508 0.2470 0.7508  3 Ho 2.74-2.76, 1 Er 2.75, 2 Y 2.77
S6 0.7508 0.7508 0.2470  3 Ho 2.74-2.76, 1 Er 2.75, 2 Y 2.77
S7 0.7511 0.7511 0.7511  3 Ho 2.74, 3 Y 2.77
S8 0.7530 0.2492 0.2492  3 Ho 2.74-2.76, 1 Er 2.75, 2 Y 2.77

***

# 5
Material: TaAs3F
Method: DFT, PBE
State: optimized geometry

Lattice parameters (Å, degrees): 4.4416 4.4416 4.4416 90.00 90.00 90.00
Closest atoms and distances in Å follow each position.
Fractional coordinates of all 5 atoms:
Ta1 0.0000 0.0000 0.0000  12 As 3.14
As1 0.0000 0.5000 0.5000  2 F 2.22
As2 0.5000 0.0000 0.5000  2 F 2.22
As3 0.5000 0.5000 0.0000  2 F 2.22
F1 0.5000 0.5000 0.5000  6 As 2.22

***

# 6
Material: Pm4Dy7Er
Method: DFT, PBE
State: optimized geometry

Lattice parameters (Å, degrees): 6.7277 6.7277 12.7704 115.02 115.02 52.21
Closest atoms and distances in Å follow each position.
Fractional coordinates of all 12 atoms:
Pm1 0.0562 0.0562 0.3322  5 Dy 3.29-3.67, 2 Pm 3.61
Pm2 0.3639 0.3639 0.2228  7 Dy 3.37-3.71, 2 Pm 3.61
Pm3 0.6361 0.6361 0.7772  7 Dy 3.37-3.71, 2 Pm 3.61
Pm4 0.9438 0.9438 0.6678  5 Dy 3.29-3.67, 2 Pm 3.61
Dy1 0.0000 0.0000 0.0000  2 Er 2.96, 2 Dy 3.14
Dy2 0.2120 0.2120 0.9239  4 Dy 3.14-3.42, 1 Er 3.14, 4 Pm 3.35-3.39
Dy3 0.2569 0.2569 0.6887  4 Dy 3.28-3.63, 1 Er 3.67, 1 Pm 3.67
Dy4 0.3636 0.3636 0.4954  4 Dy 3.24-3.63, 5 Pm 3.29-3.55
Dy5 0.6364 0.6364 0.5046  4 Dy 3.24-3.63, 5 Pm 3.29-3.55
Dy6 0.7431 0.7431 0.3113  4 Dy 3.28-3.63, 1 Er 3.67, 1 Pm 3.67
Dy7 0.7880 0.7880 0.0761  4 Dy 3.14-3.42, 1 Er 3.14, 4 Pm 3.35-3.39
Er1 0.5000 0.5000 0.0000  4 Dy 2.96-3.14

Properties
Its energy of formation is 0.274 eV/atom.

***

# 7
Material: SmDy2Rh4
Method: DFT, PBE
State: optimized geometry

Lattice parameters (Å, degrees): 4.6944 4.6944 6.7046 90.00 90.00 90.00
Closest atoms and distances in Å follow each position.
Fractional coordinates of all 7 atoms:
Sm1 0.0000 0.0000 0.0000  8 Rh 2.92
Dy1 0.0000 0.0000 0.5000  8 Rh 2.85
Dy2 0.5000 0.5000 0.0000  8 Rh 2.92
Rh1 0.0000 0.5000 0.2587  4 Dy 2.85-2.92, 2 Sm 2.92
Rh2 0.0000 0.5000 0.7413  4 Dy 2.85-2.92, 2 Sm 2.92
Rh3 0.5000 0.0000 0.2587  4 Dy 2.85-2.92, 2 Sm 2.92
Rh4 0.5000 0.0000 0.7413  4 Dy 2.85-2.92, 2 Sm 2.92

Properties
Its energy of formation is -0.415 eV/atom.

***

# 8
Material: ZrMnCl
Method: DFT, PBE
State: optimized geometry

Lattice parameters (Å, degrees): 7.0849 7.0849 7.0849 154.80 154.80 35.94
Closest atoms and distances in Å follow each position.
Fractional coordinates of all 3 atoms:
Zr1 0.0000 0.0000 0.0000  4 Cl 2.80, 4 Mn 2.91, 4 Zr 3.09
Mn1 0.3574 0.3574 0.0000  4 Zr 2.91, 4 Mn 3.09
Cl1 0.6300 0.6300 0.0000  4 Zr 2.80, 4 Cl 3.09

***

# 9
Material: BaBi3Te
Method: DFT, PBE
State: optimized geometry

Lattice parameters (Å, degrees): 5.9616 5.9616 5.9616 90.00 90.00 90.00
Closest atoms and distances in Å follow each position.
Fractional coordinates of all 5 atoms:
Ba1 0.0000 0.0000 0.0000  12 Bi 4.22
Bi1 0.0000 0.5000 0.5000  2 Te 2.98
Bi2 0.5000 0.0000 0.5000  2 Te 2.98
Bi3 0.5000 0.5000 0.0000  2 Te 2.98
Te1 0.5000 0.5000 0.5000  6 Bi 2.98

***

# 10
Material: LiEr2Pu3Se6
Method: DFT, PBE
State: optimized geometry

Lattice parameters (Å, degrees): 9.1451 9.1451 8.1710 102.55 102.55 25.83
Closest atoms and distances in Å follow each position.
Fractional coordinates of all 12 atoms:
Li1 0.0000 0.0000 0.0000  6 Se 2.83-2.85
Er1 0.3345 0.3345 0.6656  6 Se 2.83-2.88
Er2 0.6655 0.6655 0.3344  6 Se 2.83-2.88
Pu1 0.0000 0.0000 0.5000  6 Se 2.94-2.95
Pu2 0.3338 0.3338 0.1638  6 Se 2.91-2.96
Pu3 0.6662 0.6662 0.8362  6 Se 2.91-2.96
Se1 0.1637 0.1637 0.0891  1 Li 2.85, 2 Er 2.86, 3 Pu 2.91-2.96
Se2 0.1689 0.1689 0.5809  3 Er 2.86-2.88, 3 Pu 2.93-2.94
Se3 0.4971 0.4971 0.7584  1 Er 2.83, 2 Li 2.83, 3 Pu 2.94-2.95
Se4 0.5029 0.5029 0.2416  1 Er 2.83, 2 Li 2.83, 3 Pu 2.94-2.95
Se5 0.8311 0.8311 0.4191  3 Er 2.86-2.88, 3 Pu 2.93-2.94
Se6 0.8363 0.8363 0.9109  1 Li 2.85, 2 Er 2.86, 3 Pu 2.91-2.96

***

# 11
Material: Li8Hg3
Method: DFT, PBE
State: optimized geometry

Lattice parameters (Å, degrees): 4.9403 4.9403 10.8704 105.07 105.07 49.54
Closest atoms and distances in Å follow each position.
Fractional coordinates of all 11 atoms:
Li1 0.0513 0.0513 0.3187  8 Li 2.86-2.97, 4 Hg 2.95-2.98
Li2 0.1291 0.1291 0.9567  7 Li 2.74-2.98, 5 Hg 2.87-2.95
Li3 0.2250 0.2250 0.5906  4 Hg 2.84-2.91, 8 Li 2.86-2.99
Li4 0.3270 0.3270 0.2272  4 Hg 2.81-2.93, 8 Li 2.86-2.99
Li5 0.6730 0.6730 0.7728  4 Hg 2.81-2.93, 8 Li 2.86-2.99
Li6 0.7750 0.7750 0.4094  4 Hg 2.84-2.91, 8 Li 2.86-2.99
Li7 0.8709 0.8709 0.0433  7 Li 2.74-2.98, 5 Hg 2.87-2.95
Li8 0.9487 0.9487 0.6813  8 Li 2.86-2.97, 4 Hg 2.95-2.98
Hg1 0.3910 0.3910 0.8552  11 Li 2.81-2.95
Hg2 0.5000 0.5000 0.5000  12 Li 2.86-2.98
Hg3 0.6090 0.6090 0.1448  11 Li 2.81-2.95

Properties
Its energy of formation is -0.287 eV/atom.

***

Final energy for every record listed, in sequence, given in eV/atom: -10.56 -4.10 -2.95 -6.68 -5.14 -4.37 -6.61 -6.76 -3.32 -7.82 -1.76.